# 1
DFT (PBE) results for a geometry-optimized LaTi3C structure.

Energy relative to the elements   2.471 eV per atom
Offset from the most stable computed form   2457 meV per atom
Crystal system   cubic
Space group   No. 221

a b c (Å): 4.723 4.723 4.723
angles (deg): 90.00 90.00 90.00
Element x y z (fractional)
La1 0.000 0.000 0.000
Ti1 0.000 0.000 0.500
Ti2 0.000 0.500 0.000
Ti3 0.500 0.000 0.000
C1 0.500 0.500 0.500



# 2
DFT (PBE) results for a geometry-optimized Ba3TiZn2O8 structure.

Crystal system   trigonal
Raw total energy   -6.11 eV per atom
Space group   No. 164

a b c (Å): 5.787 5.787 7.615
angles (deg): 90.00 90.00 120.00
Element x y z (fractional)
Ba1 0.000 0.000 0.000
Ba2 0.333 0.667 0.647
Ba3 0.667 0.333 0.353
Ti1 0.000 0.000 0.500
Zn1 0.333 0.667 0.224
Zn2 0.667 0.333 0.776
O1 0.158 0.316 0.343
O2 0.158 0.842 0.343
O3 0.316 0.158 0.657
O4 0.333 0.667 0.981
O5 0.667 0.333 0.019
O6 0.684 0.842 0.343
O7 0.842 0.158 0.657
O8 0.842 0.684 0.657



# 3
DFT (PBE) results for a geometry-optimized SrTlV2N structure.

Crystal system   tetragonal
Raw total energy   -6.08 eV per atom
Space group   No. 123

a b c (Å): 4.256 4.256 5.032
angles (deg): 90.00 90.00 90.00
Element x y z (fractional)
Sr1 0.000 0.000 0.000
Tl1 0.500 0.500 0.000
V1 0.000 0.500 0.500
V2 0.500 0.000 0.500
N1 0.000 0.000 0.500